# 1
Density functional theory data (meta-GGA SCAN) for a PBEsol-optimized structure of YInSb2.

a = 4.155 Å, b = 4.155 Å, c = 6.329 Å
α = 90.00°, β = 90.00°, γ = 90.00°
Atoms (fractional coordinates):
In  0.500  0.500  0.790
Sb  0.000  0.000  0.938
Y  0.000  0.000  0.445
Sb  0.500  0.500  0.327

Properties
formation energy without anion corrections: -0.57 eV/atom

=====

# 2
Density functional theory data (meta-GGA SCAN) for a PBEsol-optimized structure of YIn2Ru.

a = 4.452 Å, b = 4.449 Å, c = 5.137 Å
α = 115.67°, β = 115.68°, γ = 90.00°
Atoms (fractional coordinates):
In  0.750  0.250  0.500
In  0.000  0.000  0.000
Ru  0.500  0.499  0.999
Y  0.250  0.750  0.500

Properties
energy of formation from the pure elements: -168 meV per atom